! Na3TbV2O8, optimized geometry, DFT GGA+U; values from VASP
&SYSTEM
  ibrav = 0, nat = 84, ntyp = 4
/
ATOMIC_SPECIES
Na 22.99 Na.upf
Tb 158.93 Tb.upf
V 50.94 V.upf
O 16.00 O.upf
CELL_PARAMETERS angstrom
-4.8990 -1.3384 -2.3806
-3.4158 -7.7055 11.3614
-3.7347 12.8612 7.0625
ATOMIC_POSITIONS crystal
Na 0.7369 0.4202 0.4344
Na 0.6975 0.9202 0.4344
Na 0.8820 0.3219 0.6755
Na 0.7935 0.8219 0.6755
Na 0.5483 0.0778 0.2179
Na 0.6697 0.5778 0.2179
Na 0.5498 0.2410 0.0120
Na 0.4622 0.7410 0.0120
Na 0.9536 0.9971 0.8758
Na 0.9222 0.4971 0.8758
Na 0.4128 0.3852 0.7936
Na 0.3808 0.8852 0.7936
Na 0.0431 0.1488 0.1099
Na 0.0668 0.6488 0.1099
Na 0.3251 0.4828 0.5497
Na 0.2247 0.9828 0.5497
Na 0.1471 0.2989 0.3522
Na 0.2051 0.7989 0.3522
Tb 0.3307 0.6330 0.7744
Tb 0.4437 0.1330 0.7744
Tb 0.1435 0.3967 0.1168
Tb 0.9733 0.8967 0.1168
Tb 0.6687 0.1726 0.4547
Tb 0.7860 0.6726 0.4547
V 0.2812 0.2477 0.5691
V 0.2878 0.7477 0.5691
V 0.9810 0.2510 0.8943
V 0.9133 0.7510 0.8943
V 0.8318 0.0568 0.6586
V 0.8269 0.5568 0.6586
V 0.1298 0.0506 0.3310
V 0.2011 0.5506 0.3310
V 0.6399 0.3120 0.2294
V 0.5895 0.8120 0.2294
V 0.4550 0.0012 0.0002
V 0.5452 0.5012 0.0002
O 0.8024 0.1491 0.8720
O 0.0696 0.6491 0.8720
O 0.1338 0.0332 0.7061
O 0.5722 0.5332 0.7061
O 0.4038 0.3955 0.0163
O 0.6125 0.8955 0.0163
O 0.9833 0.2737 0.5178
O 0.5344 0.7737 0.5178
O 0.5159 0.4233 0.2152
O 0.6993 0.9233 0.2152
O 0.8389 0.3404 0.8299
O 0.9910 0.8404 0.8299
O 0.7522 0.1696 0.6848
O 0.9326 0.6696 0.6848
O 0.6328 0.0857 0.0644
O 0.4316 0.5857 0.0644
O 0.0972 0.5243 0.2163
O 0.1190 0.0243 0.2163
O 0.6847 0.2853 0.3435
O 0.6588 0.7853 0.3435
O 0.0302 0.6490 0.3526
O 0.3224 0.1490 0.3526
O 0.9227 0.3046 0.1944
O 0.2717 0.8046 0.1944
O 0.8456 0.0802 0.3577
O 0.5121 0.5802 0.3577
O 0.3548 0.1350 0.5397
O 0.1849 0.6350 0.5397
O 0.4836 0.3166 0.5234
O 0.0398 0.8166 0.5234
O 0.8030 0.0403 0.5414
O 0.7384 0.5403 0.5414
O 0.4071 0.0231 0.8847
O 0.4776 0.5231 0.8847
O 0.2728 0.2304 0.8697
O 0.5969 0.7304 0.8697
O 0.1349 0.4587 0.3948
O 0.2599 0.9587 0.3948
O 0.0698 0.4873 0.7082
O 0.6384 0.9873 0.7082
O 0.9888 0.2775 0.0085
O 0.0197 0.7775 0.0085
O 0.4195 0.2426 0.1631
O 0.7436 0.7426 0.1631
O 0.8645 0.4930 0.0321
O 0.1676 0.9930 0.0321
O 0.3838 0.7630 0.6859
O 0.3021 0.2630 0.6859
! - energy (eV/atom) = -6.791
! - D(E_F) (states/eV per atom) = 0.000
! - ρ (g cm⁻³) = 3.87
! - space group = Cc
! - total magnetic moment (Bohr magnetons per cell) = 0.0
! - ΔE to the lowest computed polymorph (eV per atom) = 0.000